Record 1
Material: Na3RuO4
Method: DFT, SCAN
State: PBEsol geometry

Output
- E_form (uncorrected): -1.616 eV per atom
- Calculated total energy: -10.6652 eV per atom

```
data_Na3RuO4
_chemical_formula_sum 'Na24 Ru8 O32'
_cell_length_a 10.969
_cell_length_b 12.781
_cell_length_c 5.691
_cell_angle_alpha 90.00
_cell_angle_beta 109.78
_cell_angle_gamma 90.00
_space_group_name_H-M_alt 'C 1 2/m 1'
_space_group_IT_number 12
loop_
_space_group_symop_operation_xyz
'x,y,z'
'-x,-y,-z'
'-x,y,-z'
'x,-y,z'
'x+1/2,y+1/2,z'
'-x+1/2,-y+1/2,-z'
'-x+1/2,y+1/2,-z'
'x+1/2,-y+1/2,z'
loop_
_atom_site_label
_atom_site_fract_x
_atom_site_fract_y
_atom_site_fract_z
_atom_site_occupancy
Na1 0.000 0.000 0.000 1
Na2 0.000 0.125 0.500 1
Na3 0.000 0.242 0.000 1
Na4 0.000 0.500 0.000 1
Na5 0.245 0.376 0.019 1
Na6 0.250 0.250 0.500 1
Ru1 0.000 0.374 0.500 1
Ru2 0.247 0.000 0.475 1
O1 0.102 0.274 0.723 1
O2 0.112 0.500 0.702 1
O3 0.122 0.389 0.312 1
O4 0.147 0.108 0.268 1
O5 0.155 0.000 0.700 1
```

Record 2
Material: AlOs3S
Method: DFT, SCAN
State: PBEsol geometry

Output
- E_form (uncorrected): 2.220 eV per atom
- Calculated total energy: -44.3844 eV per atom

```
data_AlOs3S
_chemical_formula_sum 'Al1 Os3 S1'
_cell_length_a 4.401
_cell_length_b 4.401
_cell_length_c 4.401
_cell_angle_alpha 90.00
_cell_angle_beta 90.00
_cell_angle_gamma 90.00
_space_group_name_H-M_alt 'P m -3 m'
_space_group_IT_number 221
_space_group_name_Hall '-P 4 2 3'
loop_
_atom_site_label
_atom_site_fract_x
_atom_site_fract_y
_atom_site_fract_z
_atom_site_occupancy
Al1 0.000 0.000 0.000 1
Os1 0.000 0.000 0.500 1
S1 0.500 0.500 0.500 1
```

Record 3
Material: KTc2Ir
Method: DFT, SCAN
State: PBEsol geometry

Output
- E_form: 58 kJ per mole of atoms
- E above lowest polymorph: 0 meV per atom
- Calculated total energy: -36.7811 eV per atom

```
data_KTc2Ir
_chemical_formula_sum 'K1 Tc2 Ir1'
_cell_length_a 2.672
_cell_length_b 3.777
_cell_length_c 7.840
_cell_angle_alpha 90.00
_cell_angle_beta 90.00
_cell_angle_gamma 90.00
_space_group_name_H-M_alt 'P m m 2'
_space_group_IT_number 25
loop_
_space_group_symop_operation_xyz
'x,y,z'
'-x,-y,z'
'-x,y,z'
'x,-y,z'
loop_
_atom_site_label
_atom_site_fract_x
_atom_site_fract_y
_atom_site_fract_z
_atom_site_occupancy
K1 0.000 0.000 0.000 1
Tc1 0.000 0.000 0.513 1
Tc2 0.500 0.500 0.358 1
Ir1 0.500 0.500 0.679 1
```

Record 4
Material: KSr2Sb
Method: DFT, SCAN
State: PBEsol geometry

Output
- E_form (uncorrected): -0.151 eV per atom
- Calculated total energy: -22.6856 eV per atom

```
data_KSr2Sb
_chemical_formula_sum 'K2 Sr4 Sb2'
_cell_length_a 7.603
_cell_length_b 11.395
_cell_length_c 3.929
_cell_angle_alpha 90.00
_cell_angle_beta 113.22
_cell_angle_gamma 90.00
_space_group_name_H-M_alt 'C 1 2/m 1'
_space_group_IT_number 12
loop_
_space_group_symop_operation_xyz
'x,y,z'
'-x,-y,-z'
'-x,y,-z'
'x,-y,z'
'x+1/2,y+1/2,z'
'-x+1/2,-y+1/2,-z'
'-x+1/2,y+1/2,-z'
'x+1/2,-y+1/2,z'
loop_
_atom_site_label
_atom_site_fract_x
_atom_site_fract_y
_atom_site_fract_z
_atom_site_occupancy
K1 0.000 0.000 0.000 1
Sr1 0.250 0.250 0.500 1
Sb1 0.000 0.500 0.000 1
```

Record 5
Material: ReHg3B
Method: DFT, SCAN
State: PBEsol geometry

Output
- E_form: 150 kJ per mole of atoms
- Calculated total energy: -55.0480 eV per atom

```
data_ReHg3B
_chemical_formula_sum 'Re1 Hg3 B1'
_cell_length_a 4.476
_cell_length_b 4.476
_cell_length_c 4.476
_cell_angle_alpha 90.00
_cell_angle_beta 90.00
_cell_angle_gamma 90.00
_space_group_name_H-M_alt 'P m -3 m'
_space_group_IT_number 221
_space_group_name_Hall '-P 4 2 3'
loop_
_atom_site_label
_atom_site_fract_x
_atom_site_fract_y
_atom_site_fract_z
_atom_site_occupancy
Re1 0.000 0.000 0.000 1
Hg1 0.000 0.500 0.500 1
B1 0.500 0.500 0.500 1
```

Record 6
Material: CdPtAu2
Method: DFT, SCAN
State: PBEsol geometry

Output
- E_form: -12 kJ per mole of atoms
- Calculated total energy: -59.8529 eV per atom

```
data_CdPtAu2
_chemical_formula_sum 'Cd2 Pt2 Au4'
_cell_length_a 5.568
_cell_length_b 9.741
_cell_length_c 2.893
_cell_angle_alpha 90.00
_cell_angle_beta 119.87
_cell_angle_gamma 90.00
_space_group_name_H-M_alt 'C 1 2/m 1'
_space_group_IT_number 12
loop_
_space_group_symop_operation_xyz
'x,y,z'
'-x,-y,-z'
'-x,y,-z'
'x,-y,z'
'x+1/2,y+1/2,z'
'-x+1/2,-y+1/2,-z'
'-x+1/2,y+1/2,-z'
'x+1/2,-y+1/2,z'
loop_
_atom_site_label
_atom_site_fract_x
_atom_site_fract_y
_atom_site_fract_z
_atom_site_occupancy
Cd1 0.000 0.000 0.000 1
Pt1 0.000 0.500 0.000 1
Au1 0.250 0.250 0.500 1
```

Record 7
Material: MnInW2
Method: DFT, SCAN
State: PBEsol geometry

Output
- E_form: 37 kJ per mole of atoms
- Calculated total energy: -47.3743 eV per atom

```
data_MnInW2
_chemical_formula_sum 'Mn1 In1 W2'
_cell_length_a 3.012
_cell_length_b 3.012
_cell_length_c 6.857
_cell_angle_alpha 90.00
_cell_angle_beta 90.00
_cell_angle_gamma 90.00
_space_group_name_H-M_alt 'P 4 m m'
_space_group_IT_number 99
loop_
_space_group_symop_operation_xyz
'x,y,z'
'-y,x,z'
'-x,-y,z'
'y,-x,z'
'-x,y,z'
'y,x,z'
'x,-y,z'
'-y,-x,z'
loop_
_atom_site_label
_atom_site_fract_x
_atom_site_fract_y
_atom_site_fract_z
_atom_site_occupancy
Mn1 0.000 0.000 0.000 1
In1 0.500 0.500 0.736 1
W1 0.000 0.000 0.438 1
W2 0.500 0.500 0.186 1
```

Record 8
Material: Mo3Os
Method: DFT, SCAN
State: PBEsol geometry

Output
- E_form: 24 kJ per mole of atoms
- E above lowest polymorph: 284 meV per atom
- Calculated total energy: -43.8802 eV per atom

```
data_Mo3Os
_chemical_formula_sum 'Mo3 Os1'
_cell_length_a 2.734
_cell_length_b 3.942
_cell_length_c 5.586
_cell_angle_alpha 90.00
_cell_angle_beta 90.00
_cell_angle_gamma 90.00
_space_group_name_H-M_alt 'P m m m'
_space_group_IT_number 47
loop_
_space_group_symop_operation_xyz
'x,y,z'
'-x,-y,-z'
'-x,-y,z'
'x,y,-z'
'x,-y,-z'
'-x,y,z'
'-x,y,-z'
'x,-y,z'
loop_
_atom_site_label
_atom_site_fract_x
_atom_site_fract_y
_atom_site_fract_z
_atom_site_occupancy
Mo1 0.000 0.000 0.000 1
Mo2 0.500 0.500 0.257 1
Os1 0.000 0.000 0.500 1
```

Record 9
Material: Y3Rh
Method: DFT, SCAN
State: PBEsol geometry

Output
- E_form: -34 kJ per mole of atoms
- Calculated total energy: -29.6791 eV per atom

```
data_Y3Rh
_chemical_formula_sum 'Y3 Rh1'
_cell_length_a 3.6680
_cell_length_b 3.6680
_cell_length_c 9.2742
_cell_angle_alpha 90.00
_cell_angle_beta 90.00
_cell_angle_gamma 120.00
_space_group_name_H-M_alt 'P -6 m 2'
_space_group_IT_number 187
_space_group_name_Hall 'P -6 2'
loop_
_atom_site_label
_atom_site_fract_x
_atom_site_fract_y
_atom_site_fract_z
_atom_site_occupancy
Y1 0.0000 0.0000 0.0000 1
Y2 0.6667 0.3333 0.3096 1
Rh1 0.0000 0.0000 0.5000 1
```

Record 10
Material: KCo2Ru
Method: DFT, SCAN
State: PBEsol geometry

Output
- E_form: 75 kJ per mole of atoms
- E above lowest polymorph: 0 meV per atom
- Calculated total energy: -18.6662 eV per atom

```
data_KCo2Ru
_chemical_formula_sum 'K1 Co2 Ru1'
_cell_length_a 2.621
_cell_length_b 3.229
_cell_length_c 7.809
_cell_angle_alpha 90.00
_cell_angle_beta 90.00
_cell_angle_gamma 90.00
_space_group_name_H-M_alt 'P m m 2'
_space_group_IT_number 25
loop_
_space_group_symop_operation_xyz
'x,y,z'
'-x,-y,z'
'-x,y,z'
'x,-y,z'
loop_
_atom_site_label
_atom_site_fract_x
_atom_site_fract_y
_atom_site_fract_z
_atom_site_occupancy
K1 0.000 0.000 0.000 1
Co1 0.000 0.000 0.523 1
Co2 0.500 0.500 0.663 1
Ru1 0.500 0.500 0.346 1
```

Record 11
Material: Li2LaAg2
Method: DFT, SCAN
State: PBEsol geometry

Output
- E_form: -17 kJ per mole of atoms
- E above lowest polymorph: 72 meV per atom
- Calculated total energy: -22.2955 eV per atom

```
data_Li2LaAg2
_chemical_formula_sum 'Li4 La2 Ag4'
_cell_length_a 7.960
_cell_length_b 7.960
_cell_length_c 3.051
_cell_angle_alpha 90.00
_cell_angle_beta 90.00
_cell_angle_gamma 90.00
_space_group_name_H-M_alt 'P 4/m b m'
_space_group_IT_number 127
_space_group_name_Hall '-P 4 2ab'
loop_
_atom_site_label
_atom_site_fract_x
_atom_site_fract_y
_atom_site_fract_z
_atom_site_occupancy
Li1 0.115 0.385 0.000 1
La1 0.000 0.000 0.000 1
Ag1 0.178 0.678 0.500 1
```

Record 12
Material: ScZn2Co
Method: DFT, SCAN
State: PBEsol geometry

Output
- E_form: -10 kJ per mole of atoms
- Calculated total energy: -14.7472 eV per atom

```
data_ScZn2Co
_chemical_formula_sum 'Sc2 Zn4 Co2'
_cell_length_a 3.819
_cell_length_b 2.992
_cell_length_c 10.262
_cell_angle_alpha 90.00
_cell_angle_beta 90.00
_cell_angle_gamma 90.00
_space_group_name_H-M_alt 'A m m 2'
_space_group_IT_number 38
loop_
_space_group_symop_operation_xyz
'x,y,z'
'-x,-y,z'
'-x,y,z'
'x,-y,z'
'x,y+1/2,z+1/2'
'-x,-y+1/2,z+1/2'
'-x,y+1/2,z+1/2'
'x,-y+1/2,z+1/2'
loop_
_atom_site_label
_atom_site_fract_x
_atom_site_fract_y
_atom_site_fract_z
_atom_site_occupancy
Sc1 0.000 0.000 0.000 1
Zn1 0.000 0.000 0.732 1
Zn2 0.500 0.000 0.327 1
Co1 0.500 0.000 0.591 1
```

Among the records above, which one has the highest calculated total energy?
Na3RuO4